[1]
## GeW2CO (meta-GGA SCAN)

Data for a PBEsol-optimized structure of GeW2CO.

Uncorrected formation energy: 637 kJ/mol of formula units

Structure (CIF):
```
data_GeW2CO
_cell_length_a 4.159
_cell_length_b 4.159
_cell_length_c 3.556
_cell_angle_alpha 90.00
_cell_angle_beta 90.00
_cell_angle_gamma 90.00
_symmetry_space_group_name_H-M 'P 1'
_symmetry_Int_Tables_number 1
loop_
_symmetry_equiv_pos_as_xyz
'x,y,z'
loop_
_atom_site_label
_atom_site_type_symbol
_atom_site_fract_x
_atom_site_fract_y
_atom_site_fract_z
_atom_site_occupancy
Ge1 Ge 0.000 0.000 0.000 1
W1 W 0.000 0.500 0.500 1
W2 W 0.500 0.000 0.500 1
C1 C 0.500 0.500 0.000 1
O1 O 0.500 0.500 0.500 1
```



[2]
## GeOs3C (meta-GGA SCAN)

Data for a PBEsol-optimized structure of GeOs3C.

ΔE_f: 3240 meV/atom

Structure (CIF):
```
data_GeOs3C
_cell_length_a 4.466
_cell_length_b 4.466
_cell_length_c 4.466
_cell_angle_alpha 90.00
_cell_angle_beta 90.00
_cell_angle_gamma 90.00
_symmetry_space_group_name_H-M 'P 1'
_symmetry_Int_Tables_number 1
loop_
_symmetry_equiv_pos_as_xyz
'x,y,z'
loop_
_atom_site_label
_atom_site_type_symbol
_atom_site_fract_x
_atom_site_fract_y
_atom_site_fract_z
_atom_site_occupancy
Ge1 Ge 0.000 0.000 0.000 1
Os1 Os 0.000 0.000 0.500 1
Os2 Os 0.000 0.500 0.000 1
Os3 Os 0.500 0.000 0.000 1
C1 C 0.500 0.500 0.500 1
```



[3]
## GeP2C (meta-GGA SCAN)

Data for a PBEsol-optimized structure of GeP2C.

ΔE_f: 1782 meV/atom

Structure (CIF):
```
data_GeP2C
_cell_length_a 4.188
_cell_length_b 4.188
_cell_length_c 4.188
_cell_angle_alpha 60.00
_cell_angle_beta 60.00
_cell_angle_gamma 60.00
_symmetry_space_group_name_H-M 'P 1'
_symmetry_Int_Tables_number 1
loop_
_symmetry_equiv_pos_as_xyz
'x,y,z'
loop_
_atom_site_label
_atom_site_type_symbol
_atom_site_fract_x
_atom_site_fract_y
_atom_site_fract_z
_atom_site_occupancy
Ge1 Ge 0.000 0.000 0.000 1
P1 P 0.250 0.250 0.250 1
P2 P 0.750 0.750 0.750 1
C1 C 0.500 0.500 0.500 1
```



Record-wise calculated volume values, in Å³ per cell: 61.5, 89.1, 51.9
Record-wise E_tot values, in eV per atom: -33.638, -45.725, -10.715